(1)
# Ba2VSe4, relaxed, DFT GGA-PBE
# - Crystal system: monoclinic
# - Energy: -5.30 eV/atom
# - Formation energy (no corrections): -983.6 kJ/mol of formula units
data_Ba2VSe4
_space_group_name_H-M_alt 'P 1 21/m 1'
_space_group_IT_number 11
_space_group_name_Hall '-P 2yb'
_cell_length_a 7.1250
_cell_length_b 7.0102
_cell_length_c 9.3528
_cell_angle_alpha 90.00
_cell_angle_beta 108.87
_cell_angle_gamma 90.00
loop_
_atom_site_label
_atom_site_type_symbol
_atom_site_fract_x
_atom_site_fract_y
_atom_site_fract_z
_atom_site_occupancy
Ba1 Ba 0.2088 0.2500 0.4219 1
Ba2 Ba 0.2841 0.2500 0.9573 1
V1 V 0.2905 0.7500 0.2090 1
Se1 Se 0.0851 0.7500 0.3628 1
Se2 Se 0.1346 0.7500 0.9453 1
Se3 Se 0.4893 0.5065 0.7268 1

---

(2)
# ReHg2As, relaxed, DFT GGA-PBE
# - DFT formation energy: 0.9932 eV/atom
# - Crystal system: cubic
# - Energy: -3.43 eV/atom
data_ReHg2As
_space_group_name_H-M_alt 'F -4 3 m'
_space_group_IT_number 216
_space_group_name_Hall 'F -4 2 3'
_cell_length_a 6.7199
_cell_length_b 6.7199
_cell_length_c 6.7199
_cell_angle_alpha 90.00
_cell_angle_beta 90.00
_cell_angle_gamma 90.00
loop_
_atom_site_label
_atom_site_type_symbol
_atom_site_fract_x
_atom_site_fract_y
_atom_site_fract_z
_atom_site_occupancy
Re1 Re 0.0000 0.0000 0.0000 1
Hg1 Hg 0.0000 0.0000 0.5000 1
Hg2 Hg 0.2500 0.2500 0.2500 1
As1 As 0.2500 0.2500 0.7500 1